[1]
This record from Alexandria via LeMat-Bulk describes a relaxed structure of Ho2Be6Pt9. The functional is PBE-GGA.

It has space group P6/mmm (No. 191), with a = 5.5044 Å, b = 5.5044 Å, c = 10.1619 Å, α = 90.00°, β = 90.00° and γ = 120.00°. The distinct sites, in fractional coordinates, are Ho at (0.0000, 0.0000, 0.1898), Be at (0.3333, 0.6667, 0.1656), Be at (0.3333, 0.6667, 0.5000), Pt at (0.0000, 0.5000, 0.0000) and Pt at (0.0000, 0.5000, 0.3332).

Its formation energy is -0.83 eV per atom. As for the total DFT energy (no corrections): -5.881 eV/atom.

=====

[2]
This record from Alexandria via LeMat-Bulk describes a relaxed structure of HoBe4Pt8. The functional is PBE-GGA.

It has space group I4/mmm (No. 139), with a = 8.489 Å, b = 8.489 Å, c = 5.143 Å, α = 90.00°, β = 90.00° and γ = 90.00°. The distinct sites, in fractional coordinates, are Ho at (0.000, 0.000, 0.000), Be at (0.250, 0.250, 0.250), Pt at (0.000, 0.226, 0.500) and Pt at (0.000, 0.332, 0.000).

Its formation energy is -0.68 eV per atom. As for the total DFT energy (no corrections): -5.893 eV/atom.

=====

[3]
This record from Alexandria via LeMat-Bulk describes a relaxed structure of HoBePt. The functional is PBE-GGA.

It has space group P6_3/mmc (No. 194), with a = 4.0541 Å, b = 4.0541 Å, c = 7.5638 Å, α = 90.00°, β = 90.00° and γ = 120.00°. The distinct sites, in fractional coordinates, are Ho at (0.0000, 0.0000, 0.0000), Be at (0.3333, 0.6667, 0.2500) and Pt at (0.3333, 0.6667, 0.7500).

Its formation energy is -0.87 eV per atom. For the energy above the most stable polymorph in this dataset, the calculation gives 0.001 eV/atom. As for the total DFT energy (no corrections): -5.655 eV/atom.

=====

[4]
This record from Alexandria via LeMat-Bulk describes a relaxed structure of Ho2BePt6. The functional is PBE-GGA.

It has space group C2/m (No. 12), with a = 10.227 Å, b = 5.955 Å, c = 5.960 Å, α = 90.00°, β = 124.03° and γ = 90.00°. The distinct sites, in fractional coordinates, are Ho at (0.250, 0.000, 0.245), Be at (0.000, 0.500, 0.000), Pt at (0.002, 0.239, 0.264) and Pt at (0.239, 0.000, 0.734).

Its formation energy is -1.07 eV per atom. As for the total DFT energy (no corrections): -6.526 eV/atom.

=====

[5]
This record from Alexandria via LeMat-Bulk describes a relaxed structure of Ho2Be4Pt5. The functional is PBE-GGA.

It has space group Fmmm (No. 69), with a = 5.493 Å, b = 9.263 Å, c = 13.583 Å, α = 90.00°, β = 90.00° and γ = 90.00°. The distinct sites, in fractional coordinates, are Ho at (0.000, 0.000, 0.130), Be at (0.000, 0.160, 0.371), Pt at (0.000, 0.000, 0.500), Pt at (0.250, 0.250, 0.000) and Pt at (0.250, 0.250, 0.250).

Its formation energy is -0.91 eV per atom. As for the total DFT energy (no corrections): -5.846 eV/atom.

=====

[6]
This record from Alexandria via LeMat-Bulk describes a relaxed structure of HoBe2Pt3. The functional is PBE-GGA.

It has space group P6/mmm (No. 191), with a = 9.0788 Å, b = 9.0788 Å, c = 3.8725 Å, α = 90.00°, β = 90.00° and γ = 120.00°. The distinct sites, in fractional coordinates, are Ho at (0.0000, 0.0000, 0.0000), Ho at (0.3333, 0.6667, 0.5000), Be at (0.1823, 0.3646, 0.0000), Pt at (0.0000, 0.2922, 0.5000) and Pt at (0.0000, 0.5000, 0.0000).

Its formation energy is -0.80 eV per atom. As for the total DFT energy (no corrections): -5.822 eV/atom.

=====

[7]
This record from Alexandria via LeMat-Bulk describes a relaxed structure of HoBePt. The functional is PBE-GGA.

It has space group Pnma (No. 62), with a = 6.772 Å, b = 4.054 Å, c = 7.513 Å, α = 90.00°, β = 90.00° and γ = 90.00°. The distinct sites, in fractional coordinates, are Ho at (0.012, 0.250, 0.192), Be at (0.187, 0.750, 0.408) and Pt at (0.177, 0.250, 0.570).

Its formation energy is -0.87 eV per atom. For the energy above the most stable polymorph in this dataset, the calculation gives 0.000 eV/atom. As for the total DFT energy (no corrections): -5.656 eV/atom.

=====

[8]
This record from Alexandria via LeMat-Bulk describes a relaxed structure of Ho2BePt9. The functional is PBE-GGA.

It has space group P4/mmm (No. 123), with a = 4.062 Å, b = 4.062 Å, c = 11.902 Å, α = 90.00°, β = 90.00° and γ = 90.00°. The distinct sites, in fractional coordinates, are Ho at (0.000, 0.000, 0.175), Be at (0.000, 0.000, 0.500), Pt at (0.000, 0.500, 0.000), Pt at (0.000, 0.500, 0.353), Pt at (0.500, 0.500, 0.176) and Pt at (0.500, 0.500, 0.500).

Its formation energy is -0.77 eV per atom. As for the total DFT energy (no corrections): -6.377 eV/atom.

=====

[9]
This record from Alexandria via LeMat-Bulk describes a relaxed structure of HoBePt. The functional is PBE-GGA.

It has space group P-6m2 (No. 187), with a = 4.0106 Å, b = 4.0106 Å, c = 3.8836 Å, α = 90.00°, β = 90.00° and γ = 120.00°. The distinct sites, in fractional coordinates, are Ho at (0.0000, 0.0000, 0.0000), Be at (0.3333, 0.6667, 0.5000) and Pt at (0.6667, 0.3333, 0.5000).

Its formation energy is -0.87 eV per atom. For the energy above the most stable polymorph in this dataset, the calculation gives 0.003 eV/atom. As for the total DFT energy (no corrections): -5.653 eV/atom.

=====

[10]
This record from Alexandria via LeMat-Bulk describes a relaxed structure of Ho3Be2Pt5. The functional is PBE-GGA.

It has space group P4/mbm (No. 127), with a = 9.681 Å, b = 9.681 Å, c = 3.658 Å, α = 90.00°, β = 90.00° and γ = 90.00°. The distinct sites, in fractional coordinates, are Ho at (0.000, 0.000, 0.000), Ho at (0.177, 0.323, 0.000), Be at (0.116, 0.616, 0.000), Pt at (0.000, 0.500, 0.500) and Pt at (0.071, 0.778, 0.500).

Its formation energy is -1.09 eV per atom. As for the total DFT energy (no corrections): -6.230 eV/atom.

=====

[11]
This record from Alexandria via LeMat-Bulk describes a relaxed structure of Ho2BePt. The functional is PBE-GGA.

It has space group P4/mmm (No. 123), with a = 3.477 Å, b = 3.477 Å, c = 6.730 Å, α = 90.00°, β = 90.00° and γ = 90.00°. The distinct sites, in fractional coordinates, are Ho at (0.000, 0.000, 0.247), Be at (0.500, 0.500, 0.000) and Pt at (0.500, 0.500, 0.500).

Its formation energy is -0.60 eV per atom. For the energy above the most stable polymorph in this dataset, the calculation gives 0.000 eV/atom. As for the total DFT energy (no corrections): -5.332 eV/atom.

=====

[12]
This record from Alexandria via LeMat-Bulk describes a relaxed structure of Ho2Be7Pt12. The functional is PBE-GGA.

It has space group P-6 (No. 174), with a = 9.5152 Å, b = 9.5152 Å, c = 3.8124 Å, α = 90.00°, β = 90.00° and γ = 120.00°. The distinct sites, in fractional coordinates, are Ho at (0.0000, 0.0000, 0.0000), Ho at (0.3333, 0.6667, 0.5000), Be at (0.0658, 0.6217, 0.0000), Be at (0.2713, 0.0450, 0.5000), Be at (0.6667, 0.3333, 0.0000), Pt at (0.0515, 0.7801, 0.5000), Pt at (0.1119, 0.4032, 0.0000), Pt at (0.3932, 0.2122, 0.0000) and Pt at (0.5345, 0.0939, 0.5000).

Its formation energy is -0.80 eV per atom. As for the total DFT energy (no corrections): -5.933 eV/atom.